# 1
## Mg6MnMo (GGA-PBE)

Data for a relaxed structure of Mg6MnMo.

The space group is Amm2 (No. 38) and the conventional cell measures 4.876, 5.863 and 10.898 Å, with angles of 90.00, 90.00 and 90.00 degrees. Symmetry generates all atoms from Mg at (0.000, 0.000, 0.000), Mg at (0.000, 0.000, 0.495), Mg at (0.000, 0.243, 0.762), Mg at (0.500, 0.249, 0.602), Mn at (0.500, 0.000, 0.346) and Mo at (0.500, 0.000, 0.854).

Its energy is -3.42 eV/atom. As for the energy relative to the lowest polymorph listed for this composition: 39 meV per atom. The size of the total moment comes out at 0.302 μB per atom. Its density of states at the Fermi level is 4.8 states/eV/f.u. Its mass density is 3.16 Mg/m³.

---

# 2
## NaCe3Tl4 (GGA-PBE)

Data for a relaxed structure of NaCe3Tl4.

The space group is Pmmm (No. 47) and the conventional cell measures 3.454, 5.777 and 11.558 Å, with angles of 90.00, 90.00 and 90.00 degrees. Symmetry generates all atoms from Na at (0.000, 0.000, 0.000), Ce at (0.000, 0.000, 0.500), Ce at (0.000, 0.500, 0.247), Tl at (0.500, 0.000, 0.245), Tl at (0.500, 0.500, 0.000) and Tl at (0.500, 0.500, 0.500).

Its energy is -3.76 eV/atom. The size of the total moment comes out at 0.466 μB per atom. Its density of states at the Fermi level is 21.1 states/eV/f.u. Its mass density is 9.08 Mg/m³.